The following is a PBE calculation of a relaxed SnHg2Os crystal, from OQMD.

```
4
Lattice="0.0000 3.4378 3.4378 3.4378 0.0000 3.4378 3.4378 3.4378 0.0000" Properties=species:S:1:pos:R:3 pbc="T T T"
Hg 0.0000 0.0000 0.0000
Os 1.7189 1.7189 1.7189
Sn 3.4378 3.4378 3.4378
Hg 5.1566 5.1566 5.1566
```

Values from the calculation:
Crystal system: cubic
Total DFT energy (no corrections) in eV per atom: -3.141
Total magnetization in Bohr magnetons per cell: 0.59
Theoretical density in Mg/m³: 14.51